No. 1
! Na2ThMgTe4, optimized geometry, DFT PBE; values from VASP
&SYSTEM
  ibrav = 0, nat = 8, ntyp = 4
/
ATOMIC_SPECIES
Te 127.60 Te.upf
Na 22.99 Na.upf
Th 232.04 Th.upf
Mg 24.30 Mg.upf
ATOMIC_POSITIONS crystal
Te 0.0000 0.7493 0.2381
Te 0.5000 0.7693 0.7779
Te 0.5000 0.2307 0.2221
Te 0.0000 0.2507 0.7619
Na 0.0000 0.5000 0.5000
Na 0.5000 0.0000 0.5000
Th 0.5000 0.5000 0.0000
Mg 0.0000 0.0000 0.0000
CELL_PARAMETERS angstrom
4.4754 0.0000 0.0000
0.0000 7.6054 0.0946
0.0000 -2.6945 7.5269
! M_tot = 0.000 μB per formula unit
! Raw total energy = -4.072 eV per atom
! Uncorrected formation energy = -1044.8 meV per atom
! Space group = P2/m (10)

No. 2
! Na4Th3MgTe8, optimized geometry, DFT PBE; values from VASP
&SYSTEM
  ibrav = 0, nat = 16, ntyp = 4
/
ATOMIC_SPECIES
Th 232.04 Th.upf
Na 22.99 Na.upf
Te 127.60 Te.upf
Mg 24.30 Mg.upf
ATOMIC_POSITIONS crystal
Th 0.0000 0.5000 0.5000
Th 0.5000 0.5000 0.0000
Th 0.5000 0.5000 0.5000
Na 0.0000 0.0000 0.5000
Na 0.0000 0.0000 0.0000
Na 0.5000 0.0000 0.5000
Na 0.5000 0.0000 0.0000
Te 0.2509 0.2528 0.5018
Te 0.2439 0.2656 0.0048
Te 0.7606 0.2653 0.5211
Te 0.2394 0.7347 0.4789
Te 0.7561 0.7344 0.9952
Te 0.2391 0.7344 0.9952
Te 0.7609 0.2656 0.0048
Te 0.7491 0.7472 0.4982
Mg 0.0000 0.5000 0.0000
CELL_PARAMETERS angstrom
-5.4669 -3.7786 -5.8494
-4.5660 -4.0652 6.8935
0.9485 8.8049 0.1255
! M_tot = 0.002 μB per formula unit
! Raw total energy = -4.455 eV per atom
! Uncorrected formation energy = -1063.3 meV per atom
! Space group = R-3m (166)

No. 3
! Na3Th2MgTe6, optimized geometry, DFT PBE; values from VASP
&SYSTEM
  ibrav = 0, nat = 12, ntyp = 4
/
ATOMIC_SPECIES
Te 127.60 Te.upf
Th 232.04 Th.upf
Na 22.99 Na.upf
Mg 24.30 Mg.upf
ATOMIC_POSITIONS crystal
Te 0.7571 0.7571 0.2340
Te 0.9223 0.6006 0.7661
Te 0.0777 0.3994 0.2339
Te 0.6006 0.9223 0.7661
Te 0.2429 0.2429 0.7660
Te 0.3994 0.0777 0.2339
Th 0.3339 0.6661 0.0000
Th 0.6661 0.3339 0.0000
Na 0.1705 0.8295 0.5000
Na 0.8295 0.1705 0.5000
Na 0.5000 0.5000 0.5000
Mg 0.0000 0.0000 0.0000
CELL_PARAMETERS angstrom
-1.3991 -3.2822 6.8327
1.5153 -4.3909 -6.1514
7.3494 2.8266 1.4083
! M_tot = 0.001 μB per formula unit
! Raw total energy = -4.328 eV per atom
! Uncorrected formation energy = -1057.4 meV per atom
! Space group = C2/m (12)

No. 4
! Na2MgTlTe, optimized geometry, DFT PBE; values from VASP
&SYSTEM
  ibrav = 0, nat = 5, ntyp = 4
/
ATOMIC_SPECIES
Na 22.99 Na.upf
Mg 24.30 Mg.upf
Tl 204.38 Tl.upf
Te 127.60 Te.upf
ATOMIC_POSITIONS crystal
Na 0.5000 0.0000 0.0000
Na 0.0000 0.5000 0.0000
Mg 0.0000 0.0000 0.0000
Tl 0.5000 0.5000 0.5000
Te 0.0000 0.0000 0.5000
CELL_PARAMETERS angstrom
-0.5020 1.2194 5.6873
3.9150 -4.1510 1.2356
4.0835 3.7211 -0.4374
! M_tot = 0.000 μB per formula unit
! Raw total energy = -1.916 eV per atom
! Uncorrected formation energy = 32.3 meV per atom
! Space group = P4/mmm (123)

No. 5
! Na4Tm3MgTe8, optimized geometry, DFT PBE; values from VASP
&SYSTEM
  ibrav = 0, nat = 16, ntyp = 4
/
ATOMIC_SPECIES
Na 22.99 Na.upf
Te 127.60 Te.upf
Mg 24.30 Mg.upf
Tm 168.93 Tm.upf
ATOMIC_POSITIONS crystal
Na 0.0000 0.0000 0.0000
Na 0.5000 0.0000 0.0000
Na 0.0000 0.0000 0.5000
Na 0.5000 0.0000 0.5000
Te 0.7594 0.2735 0.0140
Te 0.7436 0.7306 0.4872
Te 0.7454 0.7265 0.9860
Te 0.2564 0.2694 0.5128
Te 0.2408 0.7266 0.4816
Te 0.7592 0.2734 0.5184
Te 0.2546 0.2735 0.0140
Te 0.2406 0.7265 0.9860
Mg 0.0000 0.5000 0.0000
Tm 0.0000 0.5000 0.5000
Tm 0.5000 0.5000 0.0000
Tm 0.5000 0.5000 0.5000
CELL_PARAMETERS angstrom
8.6429 0.0000 0.0000
0.0000 9.1340 0.3362
-4.3215 -4.3164 6.1149
! M_tot = 0.000 μB per formula unit
! Raw total energy = -3.975 eV per atom
! Uncorrected formation energy = -1136.8 meV per atom
! Space group = R-3m (166)

No. 6
! Na2MgUTe4, optimized geometry, DFT PBE; values from VASP
&SYSTEM
  ibrav = 0, nat = 8, ntyp = 4
/
ATOMIC_SPECIES
Te 127.60 Te.upf
Na 22.99 Na.upf
U 238.03 U.upf
Mg 24.30 Mg.upf
ATOMIC_POSITIONS crystal
Te 0.0000 0.7354 0.2200
Te 0.5000 0.2447 0.2329
Te 0.0000 0.2646 0.7800
Te 0.5000 0.7553 0.7671
Na 0.5000 0.0000 0.5000
Na 0.0000 0.5000 0.5000
U 0.0000 0.0000 0.0000
Mg 0.5000 0.5000 0.0000
CELL_PARAMETERS angstrom
-3.3723 -0.2118 -2.8107
1.9820 -7.0430 -1.8473
-5.0729 -0.2838 6.1078
! M_tot = 2.000 μB per formula unit
! Raw total energy = -4.336 eV per atom
! Uncorrected formation energy = -825.1 meV per atom
! Space group = P2/m (10)

No. 7
! NaMgUTe3, optimized geometry, DFT PBE; values from VASP
&SYSTEM
  ibrav = 0, nat = 12, ntyp = 4
/
ATOMIC_SPECIES
Na 22.99 Na.upf
Mg 24.30 Mg.upf
U 238.03 U.upf
Te 127.60 Te.upf
ATOMIC_POSITIONS crystal
Na 0.7500 0.8119 0.8497
Na 0.2500 0.1881 0.1503
Mg 0.2500 0.0729 0.6086
Mg 0.7500 0.9271 0.3914
U 0.2500 0.6753 0.1399
U 0.7500 0.3247 0.8601
Te 0.7500 0.9297 0.1503
Te 0.7500 0.2352 0.5647
Te 0.7500 0.4379 0.1442
Te 0.2500 0.5621 0.8558
Te 0.2500 0.0703 0.8497
Te 0.2500 0.7648 0.4353
CELL_PARAMETERS angstrom
-1.0218 2.9246 -3.2435
-3.7077 -6.6407 -4.8198
-8.1559 4.6501 6.7622
! M_tot = 3.000 μB per formula unit
! Raw total energy = -4.681 eV per atom
! Uncorrected formation energy = -743.0 meV per atom
! Space group = P2_1/m (11)

No. 8
! NaY2MgTe4, optimized geometry, DFT PBE; values from VASP
&SYSTEM
  ibrav = 0, nat = 8, ntyp = 4
/
ATOMIC_SPECIES
Te 127.60 Te.upf
Mg 24.30 Mg.upf
Y 88.91 Y.upf
Na 22.99 Na.upf
ATOMIC_POSITIONS crystal
Te 0.7531 0.7531 0.5061
Te 0.2469 0.2469 0.4939
Te 0.9978 0.4978 0.9956
Te 0.5022 0.0022 0.0044
Mg 0.7500 0.2500 0.5000
Y 0.0000 0.0000 0.0000
Y 0.2500 0.7500 0.5000
Na 0.5000 0.5000 0.0000
CELL_PARAMETERS angstrom
-2.0151 -3.4347 -4.7381
5.5216 -2.7761 -0.3362
-3.7100 -1.2711 6.5420
! M_tot = 0.000 μB per formula unit
! Raw total energy = -4.699 eV per atom
! Uncorrected formation energy = -1148.1 meV per atom
! Space group = I-4m2 (119)